The following is a GGA-PBE calculation of SmSiGe2 after structural relaxation, from the Alexandria database.

The structure in extended XYZ format:
```
4
Lattice="4.302 0.000 0.000 0.000 4.302 0.000 0.000 0.000 4.371" Properties=species:S:1:pos:R:3 pbc="T T T"
Sm 0.000 0.000 0.000
Si 2.151 2.151 0.000
Ge 0.000 2.151 2.186
Ge 2.151 0.000 2.186
```

Summary:
E_tot: -20.6 eV for the cell shown
Formation energy (no corrections): -0.308 eV per atom
Mass density: 6.65 g/cm³
Magnetization: 0.00 μB/atom



The following is a GGA-PBE calculation of Ta4InHg after structural relaxation, from the Alexandria database.

The structure in extended XYZ format:
```
6
Lattice="0.000 3.935 3.935 3.935 0.000 3.935 3.935 3.935 0.000" Properties=species:S:1:pos:R:3 pbc="T T T"
Ta 2.956 2.956 2.956
Ta 4.913 4.913 2.956
Ta 4.913 2.956 4.913
Ta 2.956 4.913 4.913
In 5.902 5.902 5.902
Hg 0.000 0.000 0.000
```

Summary:
E_tot: -47.5 eV for the cell shown
Mass density: 14.16 g/cm³
Magnetization: 0.00 μB/atom



The following is a GGA-PBE calculation of Be2PH after structural relaxation, from the Alexandria database.

The structure in extended XYZ format:
```
4
Lattice="1.748 1.009 4.574 -1.748 1.009 4.574 0.000 -2.018 4.574" Properties=species:S:1:pos:R:3 pbc="T T T"
Be 0.000 0.000 1.422
Be 0.000 0.000 12.300
P 0.000 0.000 6.861
H 0.000 0.000 0.000
```

Summary:
E_tot: -16.6 eV for the cell shown
Mass density: 1.72 g/cm³
Magnetization: 0.00 μB/atom



The following is a GGA-PBE calculation of SrBeAgPt2 after structural relaxation, from the Alexandria database.

The structure in extended XYZ format:
```
5
Lattice="4.456 0.000 0.000 0.000 4.456 0.000 0.000 0.000 4.671" Properties=species:S:1:pos:R:3 pbc="T T T"
Sr 0.000 0.000 0.000
Be 2.228 2.228 2.335
Ag 2.228 2.228 0.000
Pt 0.000 2.228 2.335
Pt 2.228 0.000 2.335
```

Summary:
E_tot: -22.5 eV for the cell shown
Mass density: 10.65 g/cm³
Magnetization: 0.00 μB/atom



The following is a GGA-PBE calculation of CaSmScIn after structural relaxation, from the Alexandria database.

The structure in extended XYZ format:
```
4
Lattice="0.000 3.822 3.822 3.822 0.000 3.822 3.822 3.822 0.000" Properties=species:S:1:pos:R:3 pbc="T T T"
Ca 0.000 0.000 0.000
Sm 1.911 1.911 1.911
Sc 5.733 5.733 5.733
In 3.822 3.822 3.822
```

Summary:
E_tot: -16.3 eV for the cell shown
Mass density: 5.21 g/cm³
Magnetization: 0.00 μB/atom



The following is a GGA-PBE calculation of B2Ir2Pt after structural relaxation, from the Alexandria database.

The structure in extended XYZ format:
```
10
Lattice="6.481 0.000 0.000 0.000 6.481 0.000 0.000 0.000 2.725" Properties=species:S:1:pos:R:3 pbc="T T T"
B 0.972 2.268 0.000
B 2.268 5.509 0.000
B 4.213 0.972 0.000
B 5.509 4.213 0.000
Ir 0.964 4.205 1.363
Ir 2.276 0.964 1.363
Ir 4.205 5.517 1.363
Ir 5.517 2.276 1.363
Pt 0.000 0.000 0.000
Pt 3.240 3.240 0.000
```

Summary:
E_tot: -73.3 eV for the cell shown
Mass density: 17.44 g/cm³
Magnetization: 0.00 μB/atom



The following is a GGA-PBE calculation of Be2GaHCl after structural relaxation, from the Alexandria database.

The structure in extended XYZ format:
```
5
Lattice="3.656 0.000 0.000 0.000 3.656 0.000 0.000 0.000 5.315" Properties=species:S:1:pos:R:3 pbc="T T T"
Be 0.000 1.828 0.000
Be 1.828 0.000 0.000
Ga 0.000 0.000 2.657
H 1.828 1.828 0.000
Cl 1.828 1.828 2.657
```

Summary:
E_tot: -12.8 eV for the cell shown
Mass density: 2.90 g/cm³
Magnetization: 0.00 μB/atom



The following is a GGA-PBE calculation of NaYZr after structural relaxation, from the Alexandria database.

The structure in extended XYZ format:
```
6
Lattice="3.285 0.000 0.000 -1.634 6.597 0.000 -1.618 -1.080 7.842" Properties=species:S:1:pos:R:3 pbc="T T T"
Na 0.000 0.000 0.000
Na 0.017 0.107 5.490
Y -0.027 3.583 0.191
Y 1.622 1.574 2.726
Zr -1.673 4.859 2.833
Zr -0.025 3.402 4.919
```

Summary:
E_tot: -30.6 eV for the cell shown
Mass density: 3.97 g/cm³
Magnetization: 0.00 μB/atom



The following is a GGA-PBE calculation of Cs2TiF after structural relaxation, from the Alexandria database.

The structure in extended XYZ format:
```
8
Lattice="-4.383 4.383 5.203 4.383 -4.383 5.203 4.383 4.383 -5.203" Properties=species:S:1:pos:R:3 pbc="T T T"
Cs 6.574 1.176 -1.301
Cs 1.176 2.191 1.301
Cs -2.191 3.207 3.902
Cs 3.207 2.191 6.504
Ti 4.383 0.000 2.601
Ti 0.000 0.000 5.203
F 0.000 0.000 0.000
F 0.000 4.383 2.601
```

Summary:
E_tot: -25.7 eV for the cell shown
Formation energy (no corrections): -0.341 eV per atom
Mass density: 2.76 g/cm³
Magnetization: 0.75 μB/atom



The following is a GGA-PBE calculation of KRu2W after structural relaxation, from the Alexandria database.

The structure in extended XYZ format:
```
4
Lattice="1.414 0.816 10.140 -1.414 0.816 10.140 0.000 -1.632 10.140" Properties=species:S:1:pos:R:3 pbc="T T T"
K 0.000 0.000 0.000
Ru 0.000 0.000 7.220
Ru 0.000 0.000 23.200
W 0.000 0.000 15.210
```

Summary:
E_tot: -30.1 eV for the cell shown
Mass density: 10.06 g/cm³
Magnetization: 0.00 μB/atom



The following is a GGA-PBE calculation of Be4WCl after structural relaxation, from the Alexandria database.

The structure in extended XYZ format:
```
6
Lattice="0.000 3.188 3.188 3.188 0.000 3.188 3.188 3.188 0.000" Properties=species:S:1:pos:R:3 pbc="T T T"
Be 2.436 2.436 2.436
Be 3.940 3.940 2.436
Be 3.940 2.436 3.940
Be 2.436 3.940 3.940
W 4.782 4.782 4.782
Cl 0.000 0.000 0.000
```

Summary:
E_tot: -26.8 eV for the cell shown
Formation energy (no corrections): 0.490 eV per atom
Mass density: 6.54 g/cm³
Magnetization: 0.00 μB/atom



The following is a GGA-PBE calculation of CdHg2W after structural relaxation, from the Alexandria database.

The structure in extended XYZ format:
```
4
Lattice="1.513 0.873 10.182 -1.513 0.873 10.182 0.000 -1.747 10.182" Properties=species:S:1:pos:R:3 pbc="T T T"
Cd 0.000 0.000 0.000
Hg 0.000 0.000 7.461
Hg 0.000 0.000 23.084
W 0.000 0.000 15.272
```

Summary:
E_tot: -12.2 eV for the cell shown
Mass density: 14.35 g/cm³
Magnetization: 0.00 μB/atom



The following is a GGA-PBE calculation of LiPaCuSi2 after structural relaxation, from the Alexandria database.

The structure in extended XYZ format:
```
5
Lattice="-1.987 1.987 5.111 1.987 -1.987 5.111 1.987 1.987 -5.111" Properties=species:S:1:pos:R:3 pbc="T T T"
Li 0.000 0.000 0.000
Pa 1.987 0.000 2.556
Cu 0.000 0.000 5.111
Si 0.000 1.987 1.388
Si 0.000 1.987 3.723
```

Summary:
E_tot: -28.4 eV for the cell shown
Formation energy (no corrections): -0.415 eV per atom
Mass density: 7.36 g/cm³
Magnetization: 0.00 μB/atom



The following is a GGA-PBE calculation of TmZrRuPt after structural relaxation, from the Alexandria database.

The structure in extended XYZ format:
```
4
Lattice="0.000 3.357 3.357 3.357 0.000 3.357 3.357 3.357 0.000" Properties=species:S:1:pos:R:3 pbc="T T T"
Tm 0.000 0.000 0.000
Zr 3.357 3.357 3.357
Ru 1.679 1.679 1.679
Pt 5.036 5.036 5.036
```

Summary:
E_tot: -31.5 eV for the cell shown
Mass density: 12.21 g/cm³
Magnetization: 0.00 μB/atom



The following is a GGA-PBE calculation of RbBaPtO2 after structural relaxation, from the Alexandria database.

The structure in extended XYZ format:
```
10
Lattice="6.054 0.000 0.000 0.000 5.686 0.000 -0.016 0.000 7.797" Properties=species:S:1:pos:R:3 pbc="T T T"
Rb -0.004 0.006 1.949
Rb -0.012 5.680 5.848
Ba 3.023 2.844 1.949
Ba 3.015 2.842 5.848
Pt 3.027 0.000 0.000
Pt 3.019 0.000 3.899
O 1.756 1.510 7.794
O 1.764 4.176 3.896
O 4.275 1.510 3.901
O 4.283 4.176 0.003
```

Summary:
E_tot: -51.4 eV for the cell shown
Formation energy (no corrections): -1.367 eV per atom
Mass density: 5.57 g/cm³
Magnetization: 0.20 μB/atom



The following is a GGA-PBE calculation of CePm2Pb after structural relaxation, from the Alexandria database.

The structure in extended XYZ format:
```
4
Lattice="5.012 0.000 0.000 0.000 5.012 0.000 0.000 0.000 4.747" Properties=species:S:1:pos:R:3 pbc="T T T"
Ce 0.000 0.000 0.000
Pm 0.000 2.506 2.374
Pm 2.506 0.000 2.374
Pb 2.506 2.506 0.000
```

Summary:
E_tot: -20.3 eV for the cell shown
Mass density: 8.88 g/cm³
Magnetization: 0.17 μB/atom



The following is a GGA-PBE calculation of CrNiSeN2 after structural relaxation, from the Alexandria database.

The structure in extended XYZ format:
```
5
Lattice="3.588 0.000 0.000 0.000 3.588 0.000 0.000 0.000 5.285" Properties=species:S:1:pos:R:3 pbc="T T T"
Cr 0.000 0.000 0.000
Ni 1.794 1.794 2.642
Se 0.000 0.000 2.642
N 0.000 1.794 0.000
N 1.794 0.000 0.000
```

Summary:
E_tot: -32.7 eV for the cell shown
Formation energy (no corrections): 0.569 eV per atom
Mass density: 5.31 g/cm³
Magnetization: 0.20 μB/atom



The following is a GGA-PBE calculation of NaHfNiAu2 after structural relaxation, from the Alexandria database.

The structure in extended XYZ format:
```
5
Lattice="4.822 0.000 0.000 0.000 4.822 0.000 0.000 0.000 4.347" Properties=species:S:1:pos:R:3 pbc="T T T"
Na 0.000 0.000 0.000
Hf 2.411 2.411 0.000
Ni 0.000 0.000 2.174
Au 0.000 2.411 2.174
Au 2.411 0.000 2.174
```

Summary:
E_tot: -20.7 eV for the cell shown
Mass density: 10.75 g/cm³
Magnetization: 0.00 μB/atom



The following is a GGA-PBE calculation of In2CoNi after structural relaxation, from the Alexandria database.

The structure in extended XYZ format:
```
4
Lattice="1.552 0.896 8.463 -1.552 0.896 8.463 0.000 -1.792 8.463" Properties=species:S:1:pos:R:3 pbc="T T T"
In 0.000 0.000 0.000
In 0.000 0.000 5.750
Co 0.000 0.000 19.015
Ni 0.000 0.000 12.173
```

Summary:
E_tot: -17.0 eV for the cell shown
Mass density: 8.16 g/cm³
Magnetization: 0.50 μB/atom



The following is a GGA-PBE calculation of Pm2Pr4ThMg after structural relaxation, from the Alexandria database.

The structure in extended XYZ format:
```
8
Lattice="5.782 0.000 0.000 0.000 5.787 0.000 -0.010 0.000 7.970" Properties=species:S:1:pos:R:3 pbc="T T T"
Pm 0.000 0.000 0.000
Pm 2.886 2.894 3.985
Pr -0.001 2.894 1.840
Pr 5.773 2.894 6.131
Pr 2.891 0.000 1.857
Pr 2.881 0.000 6.114
Th -0.005 0.000 3.985
Mg 2.891 2.894 0.000
```

Summary:
E_tot: -36.9 eV for the cell shown
Mass density: 6.91 g/cm³
Magnetization: 0.00 μB/atom